1.
# YCdAs2

Crystalline YCdAs2 at its relaxed geometry (PBE, the Open Quantum Materials Database).

The structure in POSCAR format:
```
YCdAs2
1.0
0.000 3.549 3.549
3.549 0.000 3.549
3.549 3.549 0.000
Y Cd As
1 1 2
Direct
0.250 0.250 0.250
0.000 0.000 0.000
0.500 0.500 0.500
0.750 0.750 0.750
```

Values from the calculation:
Energy: -17.4 eV/f.u.
Space-group type: No. 216

=====

2.
# KRbUSe3

Crystalline KRbUSe3 at its relaxed geometry (PBE, the Open Quantum Materials Database).

The structure in POSCAR format:
```
KRbUSe3
1.0
2.164 -9.191 0.000
2.164 9.191 0.000
0.000 0.000 12.096
Rb K Se U
2 2 6 2
Direct
0.151 0.849 0.750
0.849 0.151 0.250
0.880 0.120 0.750
0.120 0.880 0.250
0.101 0.899 0.498
0.508 0.492 0.750
0.899 0.101 0.998
0.492 0.508 0.250
0.101 0.899 0.002
0.899 0.101 0.502
0.500 0.500 0.000
0.500 0.500 0.500
```

Values from the calculation:
Energy: -30.3 eV/f.u.
Space-group type: No. 63

=====

- The highest energy belongs to which entry?
  YCdAs2